Entry 1:
A relaxed structure of Ba3TcO5, computed with PBE.

SG ... I4/mcm
Size of the total moment ... 6.05 Bohr magnetons per cell
Formation energy (no corrections) ... -2.13 eV per atom

Cell lengths 8.1904, 8.1904, 8.1904 Å; angles 126.86, 126.86, 78.47 degrees
Positions (direct):
Ba1 0.1788 0.6788 0.8575
Ba2 0.2500 0.2500 0.0000
Ba3 0.3212 0.1788 0.5000
Ba4 0.6788 0.8212 0.5000
Ba5 0.7500 0.7500 0.0000
Ba6 0.8212 0.3212 0.1425
Tc1 0.2500 0.7500 0.5000
Tc2 0.7500 0.2500 0.5000
O1 0.0000 0.0000 0.0000
O2 0.0125 0.7773 0.5000
O3 0.2227 0.7227 0.2351
O4 0.2773 0.5125 0.5000
O5 0.4875 0.9875 0.7649
O6 0.5000 0.5000 0.0000
O7 0.5125 0.0125 0.2351
O8 0.7227 0.4875 0.5000
O9 0.7773 0.2773 0.7649
O10 0.9875 0.2227 0.5000



Entry 2:
A relaxed structure of BaTc2O6, computed with PBE.

SG ... P-31m
Size of the total moment ... 0.28 Bohr magnetons per cell
Formation energy (no corrections) ... -1.76 eV per atom

Cell lengths 5.4126, 5.4126, 5.5403 Å; angles 90.00, 90.00, 120.00 degrees
Positions (direct):
Ba1 0.0000 0.0000 0.0000
Tc1 0.3333 0.6667 0.5000
Tc2 0.6667 0.3333 0.5000
O1 0.0000 0.3943 0.6887
O2 0.0000 0.6057 0.3113
O3 0.3943 0.0000 0.6887
O4 0.3943 0.3943 0.3113
O5 0.6057 0.0000 0.3113
O6 0.6057 0.6057 0.6887



Entry 3:
A relaxed structure of BaTc3O12, computed with PBE.

SG ... R3c
Size of the total moment ... 2.46 Bohr magnetons per cell
Formation energy (no corrections) ... -1.48 eV per atom

Cell lengths 11.6745, 11.6745, 11.6745 Å; angles 46.11, 46.11, 46.11 degrees
Positions (direct):
Ba1 0.0000 0.0000 0.0000
Ba2 0.5000 0.5000 0.5000
Tc1 0.0725 0.3930 0.7216
Tc2 0.2216 0.8930 0.5725
Tc3 0.3930 0.7216 0.0725
Tc4 0.5725 0.2216 0.8930
Tc5 0.7216 0.0725 0.3930
Tc6 0.8930 0.5725 0.2216
O1 0.0993 0.4430 0.1175
O2 0.1175 0.0993 0.4430
O3 0.1419 0.2461 0.6620
O4 0.1620 0.7461 0.6419
O5 0.1682 0.8987 0.7507
O6 0.2461 0.6620 0.1419
O7 0.2507 0.3987 0.6682
O8 0.3164 0.9471 0.9499
O9 0.3987 0.6682 0.2507
O10 0.4430 0.1175 0.0993
O11 0.4471 0.8164 0.4499
O12 0.4499 0.4471 0.8164
O13 0.5993 0.6175 0.9430
O14 0.6175 0.9430 0.5993
O15 0.6419 0.1620 0.7461
O16 0.6620 0.1419 0.2461
O17 0.6682 0.2507 0.3987
O18 0.7461 0.6419 0.1620
O19 0.7507 0.1682 0.8987
O20 0.8164 0.4499 0.4471
O21 0.8987 0.7507 0.1682
O22 0.9430 0.5993 0.6175
O23 0.9471 0.9499 0.3164
O24 0.9499 0.3164 0.9471



Entry 4:
A relaxed structure of Ba4TcO7, computed with PBE.

SG ... C2/m
Size of the total moment ... 1.91 Bohr magnetons per cell
Formation energy (no corrections) ... -1.90 eV per atom

Cell lengths 7.5767, 7.5767, 10.9130 Å; angles 125.15, 125.15, 31.15 degrees
Positions (direct):
Ba1 0.1028 0.1028 0.4277
Ba2 0.2633 0.2633 0.1739
Ba3 0.7367 0.7367 0.8261
Ba4 0.8972 0.8972 0.5723
Tc1 0.5000 0.5000 0.0000
O1 0.0000 0.0000 0.0000
O2 0.1113 0.1113 0.6849
O3 0.2753 0.2753 0.4141
O4 0.3950 0.3950 0.0373
O5 0.6050 0.6050 0.9627
O6 0.7247 0.7247 0.5859
O7 0.8887 0.8887 0.3151



Entry 5:
A relaxed structure of Ba3TcO, computed with PBE.

Relative energy among the computed polymorphs ... 0.000 eV/atom
SG ... Pm-3m
Size of the total moment ... 1.66 Bohr magnetons per cell
Formation energy (no corrections) ... -0.38 eV per atom

Cell lengths 5.4041, 5.4041, 5.4041 Å; angles 90.00, 90.00, 90.00 degrees
Positions (direct):
Ba1 0.0000 0.0000 0.5000
Ba2 0.0000 0.5000 0.0000
Ba3 0.5000 0.0000 0.0000
Tc1 0.5000 0.5000 0.5000
O1 0.0000 0.0000 0.0000



Entry 6:
A relaxed structure of Ba5Tc2O12, computed with PBE.

SG ... C2/m
Size of the total moment ... 0.00 Bohr magnetons per cell
Formation energy (no corrections) ... -1.79 eV per atom

Cell lengths 7.3567, 7.3567, 6.4113 Å; angles 94.72, 94.72, 61.33 degrees
Positions (direct):
Ba1 0.0000 0.0000 0.0000
Ba2 0.2429 0.2429 0.4818
Ba3 0.3548 0.3548 0.9843
Ba4 0.6452 0.6452 0.0157
Ba5 0.7571 0.7571 0.5182
Tc1 0.2507 0.7493 0.5000
Tc2 0.7493 0.2507 0.5000
O1 0.0612 0.0612 0.6200
O2 0.1127 0.6843 0.7171
O3 0.1615 0.5918 0.2889
O4 0.3157 0.8873 0.2829
O5 0.4082 0.8385 0.7111
O6 0.4539 0.4539 0.6317
O7 0.5461 0.5461 0.3683
O8 0.5918 0.1615 0.2889
O9 0.6843 0.1127 0.7171
O10 0.8385 0.4082 0.7111
O11 0.8873 0.3157 0.2829
O12 0.9388 0.9388 0.3800



Entry 7:
A relaxed structure of Ba3TcO6, computed with PBE.

Relative energy among the computed polymorphs ... 0.000 eV/atom
SG ... C2/m
Size of the total moment ... 1.01 Bohr magnetons per cell
Formation energy (no corrections) ... -2.22 eV per atom

Cell lengths 6.1268, 6.1268, 6.3827 Å; angles 118.30, 118.30, 60.53 degrees
Positions (direct):
Ba1 0.0000 0.0000 0.0000
Ba2 0.2416 0.2416 0.7228
Ba3 0.7584 0.7584 0.2772
Tc1 0.5000 0.5000 0.5000
O1 0.2189 0.6660 0.6507
O2 0.2963 0.2963 0.2034
O3 0.3340 0.7811 0.3493
O4 0.6660 0.2189 0.6507
O5 0.7037 0.7037 0.7966
O6 0.7811 0.3340 0.3493



Entry 8:
A relaxed structure of BaTc3O, computed with PBE.

Relative energy among the computed polymorphs ... 0.000 eV/atom
SG ... Pm-3m
Size of the total moment ... 2.55 Bohr magnetons per cell
Formation energy (no corrections) ... 0.79 eV per atom

Cell lengths 4.3809, 4.3809, 4.3809 Å; angles 90.00, 90.00, 90.00 degrees
Positions (direct):
Ba1 0.0000 0.0000 0.0000
Tc1 0.0000 0.5000 0.5000
Tc2 0.5000 0.0000 0.5000
Tc3 0.5000 0.5000 0.0000
O1 0.5000 0.5000 0.5000